Fe3O5F: relaxed, PBE+U.

The structure in extended XYZ format:
```
18
Lattice="-1.471 3.529 -3.922 -5.482 0.242 -0.083 -1.928 6.077 3.188" Properties=species:S:1:pos:R:3 pbc="T T T"
O -6.236 7.291 1.888
O -2.380 6.341 -0.324
O -5.185 5.981 -0.305
F -2.058 4.601 1.809
Fe -3.707 5.370 0.775
O -3.477 6.711 2.157
Fe -2.741 2.245 -0.827
O -4.846 4.317 1.986
O -6.719 5.167 -2.634
O -3.990 5.542 -2.800
O -4.658 8.587 0.432
O -3.747 3.935 -0.566
F -6.465 3.554 -0.439
Fe -6.271 7.600 -0.011
O -5.405 3.130 -2.945
Fe -5.175 4.595 -1.675
Fe -1.489 3.540 -3.884
Fe -7.819 6.693 -2.321
```

Computed properties:
Its density of states at the Fermi level is 6.6 states/eV per cell. The value obtained for the energy above the most stable polymorph in this dataset is 0.74 eV/f.u. The total magnetization is 11.05 μB/f.u. The calculation puts the total energy at -108.75 eV for the cell shown.

***

Fe10O9F11: relaxed, PBE+U.

The structure in extended XYZ format:
```
30
Lattice="-13.610 -0.427 7.010 -2.069 -0.674 -4.058 0.379 -4.623 0.453" Properties=species:S:1:pos:R:3 pbc="T T T"
Fe -3.515 -2.622 -0.341
O -0.373 -0.961 -0.783
F -9.690 -4.643 1.460
Fe -6.835 -0.231 3.446
Fe -1.078 -4.627 0.924
O -3.032 -1.097 0.694
F -3.978 -4.330 -1.460
O -12.664 -3.648 5.346
O -11.234 -1.354 4.919
F -1.365 -4.173 -2.904
Fe -0.820 -2.523 -1.746
F -13.621 -2.166 3.618
F -8.650 -1.385 3.600
F -4.325 -3.613 1.263
F -9.897 -3.788 4.133
F -12.278 -4.591 2.814
O -8.164 -2.127 0.750
F -5.600 -1.289 2.029
Fe -6.394 -2.833 0.967
Fe -5.965 -0.973 -1.925
Fe -11.721 -2.880 3.885
F -2.666 -1.822 -2.024
O -1.742 -3.306 -0.279
O -10.905 -2.270 2.297
F -6.577 -4.546 -0.143
O -7.194 -3.656 2.540
Fe -8.978 -2.914 2.298
Fe -11.671 -1.152 1.014
Fe -12.004 -4.970 6.551
O -5.310 -2.094 -0.585
```

Computed properties:
The value obtained for the energy above the most stable polymorph in this dataset is 8.14 eV/f.u. The total magnetization is 11.00 μB/f.u. The calculation puts the total energy at -169.64 eV for the cell shown.

***

FeOF: relaxed, PBE+U.

The structure in extended XYZ format:
```
18
Lattice="3.063 0.000 0.000 0.000 4.722 -0.036 0.000 0.081 14.097" Properties=species:S:1:pos:R:3 pbc="T T T"
O 0.000 3.420 6.115
Fe 1.531 2.679 7.032
Fe 1.531 2.629 11.635
F 0.000 3.175 1.539
O 1.531 3.792 13.206
F 0.000 1.453 12.559
F 1.531 3.777 3.816
O 0.000 1.338 3.366
Fe 0.000 4.735 4.755
O 0.000 3.406 10.789
Fe 1.531 1.997 2.359
Fe 0.000 4.717 14.023
O 1.531 0.804 0.874
F 1.531 1.046 5.698
O 1.531 3.930 8.348
F 0.000 1.664 7.910
Fe 0.000 4.713 9.278
F 1.531 1.078 10.243
```

Computed properties:
Its density of states at the Fermi level is 2.3 states/eV per cell. The total magnetization is 4.00 μB/f.u. The calculation puts the total energy at -105.32 eV for the cell shown.

***

Fe6OF11: relaxed, PBE+U.

The structure in extended XYZ format:
```
18
Lattice="5.811 -0.005 0.008 1.822 5.518 0.008 2.076 1.500 7.065" Properties=species:S:1:pos:R:3 pbc="T T T"
F 7.489 5.409 2.149
F 2.340 1.690 4.887
Fe 1.062 0.767 3.542
F 3.822 2.760 6.715
O 5.566 4.020 4.503
F 3.978 2.873 2.695
Fe 9.685 6.995 7.064
Fe 4.086 2.951 4.715
F 2.772 4.488 4.722
F 5.131 1.221 4.722
F 4.626 1.629 0.066
F 5.895 4.257 0.251
Fe 2.872 2.074 1.175
F 3.001 3.880 0.066
Fe 5.783 4.177 2.447
Fe 6.760 4.882 5.862
F 4.541 5.804 2.304
F 6.937 2.486 2.304
```

Computed properties:
Its density of states at the Fermi level is 0.0 states/eV per cell. The value obtained for the energy above the most stable polymorph in this dataset is 0.00 eV/f.u. The total magnetization is 25.00 μB/f.u. The calculation puts the total energy at -101.54 eV for the cell shown.

***

Fe4OF7: relaxed, PBE+U.

The structure in extended XYZ format:
```
24
Lattice="4.830 0.000 0.000 0.000 6.450 0.059 0.000 3.268 9.752" Properties=species:S:1:pos:R:3 pbc="T T T"
F 3.328 3.965 2.128
F 3.940 5.679 4.535
O 3.401 7.307 7.145
F 3.896 8.835 9.584
Fe 2.388 5.617 1.220
F 3.902 2.513 4.614
Fe 4.682 7.281 8.445
F 1.486 7.206 5.197
F 3.820 5.773 9.581
F 0.958 5.584 2.640
F 1.481 0.884 0.227
Fe 2.460 2.406 6.155
Fe 4.803 4.101 8.591
Fe 2.267 2.437 1.366
F 0.930 8.861 7.777
Fe 0.107 3.976 3.654
F 3.345 0.858 2.034
F 1.405 3.946 0.230
O 0.986 2.411 2.666
F 3.374 4.134 7.171
F 1.525 4.040 5.276
Fe 2.522 5.742 6.157
F 0.913 5.754 7.683
Fe 0.045 7.313 3.657
```

Computed properties:
The value obtained for the energy above the most stable polymorph in this dataset is 0.16 eV/f.u. The total magnetization is 17.00 μB/f.u. The calculation puts the total energy at -135.74 eV for the cell shown.

***

Fe5O2F8: relaxed, PBE+U.

The structure in extended XYZ format:
```
30
Lattice="-1.105 2.890 3.689 -6.288 -4.373 1.752 2.578 -7.113 6.734" Properties=species:S:1:pos:R:3 pbc="T T T"
F 0.782 -7.408 7.763
Fe 0.000 0.000 0.000
F -5.597 -1.187 4.412
Fe -0.206 -3.485 3.057
F -4.064 -9.504 8.696
F -2.856 -4.577 8.116
O -4.450 -6.972 8.920
O -4.033 -3.350 5.866
O -0.364 -1.623 3.255
F -2.278 -7.780 7.072
Fe 0.570 -3.954 6.788
Fe -4.310 -1.307 6.037
F -0.751 0.909 3.479
Fe -2.407 -4.298 6.087
F 0.996 -3.722 4.749
F -1.958 -4.018 4.059
F -5.811 -4.873 7.426
F -1.091 -2.680 6.565
F -3.547 -2.067 2.572
Fe -0.505 -7.288 6.138
F 0.150 -4.199 8.763
Fe -5.385 -4.641 5.387
F -3.724 -5.915 5.610
F -1.268 -6.528 9.603
Fe -2.674 -7.962 9.137
O -0.782 -5.245 6.309
Fe -4.609 -5.110 9.118
F -2.537 -0.815 5.103
F -4.965 -4.396 3.412
Fe -2.141 -0.634 3.037
```

Computed properties:
Its density of states at the Fermi level is 2.5 states/eV per cell. The value obtained for the energy above the most stable polymorph in this dataset is 3.48 eV/f.u. The total magnetization is 2.00 μB/f.u. The calculation puts the total energy at -164.85 eV for the cell shown.

***

FeOF: relaxed, PBE+U.

The structure in extended XYZ format:
```
18
Lattice="-0.944 3.034 0.939 -0.725 -1.685 4.714 14.127 4.260 0.442" Properties=species:S:1:pos:R:3 pbc="T T T"
Fe 4.590 2.612 2.023
O 9.614 3.862 3.037
F 5.858 1.017 2.605
O 2.871 1.953 2.424
F 0.586 0.879 3.596
Fe 6.785 0.745 4.416
O 0.695 -0.025 0.781
F 12.514 2.843 3.400
O 3.374 0.643 1.317
Fe 1.032 1.527 1.952
Fe 9.282 1.914 3.151
F 8.119 2.038 1.581
Fe 12.424 2.286 5.109
O 7.745 2.791 4.618
O 10.355 1.711 4.884
Fe 9.907 4.496 1.282
F 5.070 1.736 5.336
F 12.253 5.096 1.702
```

Computed properties:
Its density of states at the Fermi level is 1.1 states/eV per cell. The total magnetization is 2.57 μB/f.u. The calculation puts the total energy at -101.39 eV for the cell shown.

***

Fe2OF3: relaxed, PBE+U.

The structure in extended XYZ format:
```
24
Lattice="3.330 -3.451 0.000 3.330 3.451 0.000 0.000 0.000 12.488" Properties=species:S:1:pos:R:3 pbc="T T T"
Fe 3.330 0.000 6.244
F 3.330 -1.989 0.000
O 4.465 0.000 10.946
O 2.196 0.000 1.542
F 3.330 -1.989 6.244
Fe 3.281 0.000 3.122
F 3.175 2.012 9.366
Fe 0.202 0.000 4.694
O 4.465 0.000 7.786
F 3.486 -2.012 3.122
F 3.486 2.012 3.122
F 3.330 1.989 6.244
O 2.196 0.000 4.702
F 3.175 -2.012 9.366
F 3.330 1.989 0.000
F 4.776 0.000 4.628
F 1.885 0.000 10.872
Fe 3.330 0.000 0.000
Fe 6.459 0.000 10.938
Fe 6.459 0.000 7.794
F 4.776 0.000 1.616
Fe 0.202 0.000 1.550
F 1.885 0.000 7.860
Fe 3.380 0.000 9.366
```

Computed properties:
Its density of states at the Fermi level is 3.3 states/eV per cell. The value obtained for the energy above the most stable polymorph in this dataset is 0.42 eV/f.u. The total magnetization is 7.99 μB/f.u. The calculation puts the total energy at -137.11 eV for the cell shown.

***

FeOF: relaxed, PBE+U.

The structure in extended XYZ format:
```
18
Lattice="4.661 0.000 0.004 0.171 5.624 -0.001 0.182 0.620 7.856" Properties=species:S:1:pos:R:3 pbc="T T T"
F 3.894 2.356 3.459
F 1.119 3.888 4.400
Fe 0.297 2.350 5.426
F 3.342 1.214 0.890
Fe 4.717 3.894 2.434
O 3.514 5.192 3.340
O 1.499 1.051 4.519
O 1.547 2.749 1.843
O 3.878 4.068 0.701
Fe 2.306 1.210 2.796
F 1.170 5.546 1.761
F 1.671 5.030 6.969
O 3.466 3.495 6.016
Fe 0.000 0.000 0.000
F 3.843 0.697 6.098
Fe 2.708 5.033 5.064
Fe 2.416 2.812 0.002
O 1.135 2.176 7.158
```

Computed properties:
The total magnetization is 5.00 μB/f.u. The calculation puts the total energy at -107.57 eV for the cell shown.

***

Fe4O3F5: relaxed, PBE+U.

The structure in extended XYZ format:
```
24
Lattice="-3.779 2.364 -1.856 0.837 -2.887 -5.362 -5.664 -7.087 2.929" Properties=species:S:1:pos:R:3 pbc="T T T"
F -2.941 -0.994 -5.114
O -6.814 -5.772 -1.467
Fe -5.858 -4.834 -0.050
O -4.830 -3.931 1.350
F -7.351 -4.459 1.246
Fe -8.735 -6.161 -1.554
Fe -2.928 -2.789 -4.240
O -4.170 -2.230 -2.918
F -5.539 -6.638 0.840
Fe -6.079 -2.540 -3.068
F -2.432 -4.517 -3.308
O -3.392 0.483 -2.634
F -2.918 -2.972 -0.502
Fe -3.286 -1.148 -1.670
F -6.264 -3.066 -0.997
F -2.216 -0.311 -0.188
Fe -2.873 -3.526 1.443
F -4.316 -5.291 -1.343
F -5.793 -4.515 -3.842
O -4.720 -0.759 -0.355
F -1.692 -1.830 -2.809
Fe -5.388 -6.593 -2.587
O -5.163 -8.195 -1.623
Fe -0.088 -0.077 0.001
```

Computed properties:
The value obtained for the energy above the most stable polymorph in this dataset is 1.18 eV/f.u. The total magnetization is 17.00 μB/f.u. The calculation puts the total energy at -139.05 eV for the cell shown.

***

FeOF: relaxed, PBE+U.

The structure in extended XYZ format:
```
18
Lattice="-1.726 -2.088 -1.417 3.167 -0.262 -3.473 6.922 -10.307 6.756" Properties=species:S:1:pos:R:3 pbc="T T T"
O 6.179 -7.916 4.138
O 6.704 -8.748 1.424
Fe 6.275 -9.550 3.130
Fe 7.712 -7.125 1.103
Fe 2.016 -3.095 -1.193
O 1.654 -3.948 0.503
O 6.146 -5.963 1.299
F 1.702 -1.182 -0.332
Fe 4.344 -6.357 0.778
F 4.120 -4.623 1.793
F 8.302 -9.383 3.712
F 2.052 -1.921 -2.968
F 6.209 -10.703 4.909
O 4.540 -5.433 -0.823
O 3.838 -2.607 -0.835
Fe 5.453 -3.717 -1.166
Fe 10.049 -10.562 3.321
F 3.948 -7.234 2.552
```

Computed properties:
Its density of states at the Fermi level is 6.7 states/eV per cell. The total magnetization is 3.66 μB/f.u. The calculation puts the total energy at -104.10 eV for the cell shown.

***

Fe4OF7: relaxed, PBE+U.

The structure in extended XYZ format:
```
24
Lattice="3.181 -6.801 0.000 3.181 6.801 0.000 0.000 0.000 6.877" Properties=species:S:1:pos:R:3 pbc="T T T"
F 4.797 1.630 6.579
F 3.181 3.014 1.719
O 3.181 -3.722 1.719
Fe 3.181 -5.048 5.158
F 1.566 1.630 3.737
Fe 3.181 -1.708 1.719
F 3.181 -6.514 1.719
Fe 1.451 -1.782 5.158
Fe 1.451 1.782 1.719
Fe 4.911 1.782 1.719
F 4.797 1.630 3.737
Fe 4.911 -1.782 5.158
Fe 3.181 5.048 1.719
F 3.181 0.430 1.719
F 1.566 -1.630 3.141
O 3.181 3.722 5.158
Fe 3.181 1.708 5.158
F 3.181 -0.430 5.158
F 1.566 -1.630 0.298
F 4.797 -1.630 0.298
F 3.181 -3.014 5.158
F 3.181 6.514 5.158
F 4.797 -1.630 3.141
F 1.566 1.630 6.579
```

Computed properties:
The value obtained for the energy above the most stable polymorph in this dataset is 0.35 eV/f.u. The total magnetization is 17.00 μB/f.u. The calculation puts the total energy at -135.37 eV for the cell shown.

***

Fe6O5F7: relaxed, PBE+U.

The structure in extended XYZ format:
```
18
Lattice="-5.504 0.524 -1.380 -0.687 -2.702 -4.974 -3.334 -6.457 1.383" Properties=species:S:1:pos:R:3 pbc="T T T"
Fe -6.933 -6.838 -3.180
O -4.929 -1.992 -4.840
O -5.622 -5.241 -2.806
Fe -4.615 -5.073 -1.203
O -5.847 -3.993 -0.233
F -4.005 -0.492 -2.387
O -4.569 -6.700 -0.074
Fe -9.484 -8.608 -4.908
F -2.947 -5.879 -2.327
F -6.677 -2.639 -2.698
F -3.856 -3.281 -2.251
F -2.110 -1.794 -3.766
F -3.028 -4.746 0.340
Fe -5.040 -3.710 -3.865
F -6.557 -3.913 -5.327
O -3.674 -4.650 -4.886
Fe -2.484 -1.663 -1.731
Fe -7.873 -5.457 -5.642
```

Computed properties:
The value obtained for the energy above the most stable polymorph in this dataset is 0.36 eV/f.u. The total magnetization is 29.02 μB/f.u. The calculation puts the total energy at -106.20 eV for the cell shown.

***

Fe4O5F3: relaxed, PBE+U.

The structure in extended XYZ format:
```
24
Lattice="4.771 -0.034 0.000 -0.486 4.746 0.000 0.000 0.000 11.992" Properties=species:S:1:pos:R:3 pbc="T T T"
Fe -0.428 4.694 10.437
F 3.781 0.867 11.960
Fe 2.261 2.249 2.998
O 0.482 3.866 8.994
O 2.979 3.247 1.457
F 0.505 3.846 0.032
Fe 4.714 0.018 1.555
Fe 2.143 2.356 0.000
Fe 4.714 0.018 4.441
O 1.335 1.440 1.457
O 1.307 1.466 10.535
O 3.803 0.847 2.998
F 3.781 0.867 6.028
Fe 2.025 2.464 8.994
F 0.505 3.846 5.964
O 2.950 3.273 10.535
O 2.950 3.273 7.453
O 1.307 1.466 7.453
O 1.335 1.440 4.539
Fe -0.428 4.694 7.551
F 0.516 3.835 2.998
O 2.979 3.247 4.539
Fe 2.143 2.356 5.996
F 3.769 0.878 8.994
```

Computed properties:
Its density of states at the Fermi level is 2.0 states/eV per cell. The value obtained for the energy above the most stable polymorph in this dataset is 0.67 eV/f.u. The total magnetization is 17.00 μB/f.u. The calculation puts the total energy at -143.84 eV for the cell shown.